# LaMg2 (GGA-PBE, relaxed)
data_LaMg2
_chemical_formula_sum 'La4 Mg8'
_space_group_name_H-M_alt 'C m c m'
_space_group_IT_number 63
_space_group_name_Hall '-C 2c 2'
_cell_length_a 3.366
_cell_length_b 18.045
_cell_length_c 5.471
_cell_angle_alpha 90.00
_cell_angle_beta 90.00
_cell_angle_gamma 90.00
loop_
_atom_site_label
_atom_site_type_symbol
_atom_site_fract_x
_atom_site_fract_y
_atom_site_fract_z
_atom_site_occupancy
La1 La 0.000 0.223 0.250 1
Mg1 Mg 0.000 0.101 0.750 1
Mg2 Mg 0.000 0.449 0.750 1
# DOS(E_F)   3.18 states/eV/f.u.
# Calculated formation energy   31.7 meV/atom